Compound: AcCdGe2
Source: Alexandria via LeMat-Bulk
Functional: GGA-PBE
Structure: relaxed

Calculated values
For the electronic total energy, the calculation gives -3.776 eV/atom. As for the magnetic moment: 0.00 Bohr magnetons per cell. The symmetry is Fm-3m (225). The excess energy over the best structure of this formula in the dataset comes out at 4.74 kcal/mol of atoms. The value obtained for the formation energy is -0.212 eV/atom.

Cell and atoms, written as POSCAR:
```
AcCdGe2
1.0
0.000 3.695 3.695
3.695 0.000 3.695
3.695 3.695 0.000
Ac Cd Ge
1 1 2
Direct
0.000 0.000 0.000
0.500 0.500 0.500
0.250 0.250 0.250
0.750 0.750 0.750
```